VASP calculation (PBE-GGA) on an optimized crystal structure of Dy2In5Rh3.

Properties
- SG = No. 36
- calculated formation energy (eV per atom) = -0.558
- E (Ry/atom) = -0.371
- theoretical density (Mg/m³) = 9.40

Cell and atoms, written as POSCAR:
```
Dy2In5Rh3
1.0
-3.240 2.250 2.014
3.104 -1.316 6.463
8.661 10.009 -2.121
Dy In Rh
4 10 6
direct
0.474 0.799 0.947
0.176 0.688 0.352
0.824 0.188 0.648
0.526 0.299 0.053
0.403 0.410 0.805
0.292 0.480 0.583
0.708 0.980 0.417
0.126 0.251 0.253
0.294 0.886 0.587
0.946 0.129 0.893
0.706 0.386 0.413
0.874 0.751 0.747
0.054 0.629 0.107
0.597 0.910 0.195
0.769 0.680 0.539
0.611 0.528 0.221
0.043 0.014 0.086
0.231 0.180 0.461
0.957 0.514 0.914
0.389 0.028 0.779
```